AcLa2SmTm (PBE, relaxed); density = 7.136 g/cm3; total moment = 0.0000 μB per atom; DFT formation energy = 0.33 eV/atom; space-group type = No. 63
1.0
4.137 -6.118 0.000
4.137 6.118 0.000
0.000 0.000 7.577
Ac La Sm Tm
2 4 2 2
Direct
0.241 0.759 0.750
0.759 0.241 0.250
0.299 0.299 0.000
0.299 0.299 0.500
0.701 0.701 0.000
0.701 0.701 0.500
0.058 0.942 0.250
0.942 0.058 0.750
0.306 0.694 0.250
0.694 0.306 0.750